A plane-wave DFT calculation with PBE-GGA was carried out for HfTaAlRe after structural relaxation.

Values from the calculation:
Energy of formation ... -0.82 eV per formula unit
N(E_F) ... 4.0 states/eV/cell

Unit cell a=4.610 b=4.610 c=4.610 alpha=60.00 beta=60.00 gamma=60.00
Sites, in units of the cell vectors:
Ta: 0.000 0.000 0.000
Al: 0.250 0.250 0.250
Re: 0.750 0.750 0.750
Hf: 0.500 0.500 0.500

A plane-wave DFT calculation with PBE-GGA was carried out for HfTi2AlRe after structural relaxation.

Values from the calculation:
Energy of formation ... 7.30 eV per formula unit
N(E_F) ... 6.6 states/eV/cell

Unit cell a=4.771 b=4.747 c=4.771 alpha=90.00 beta=90.00 gamma=90.00
Sites, in units of the cell vectors:
Ti: 0.500 0.000 0.000
Ti: 0.000 0.000 0.500
Al: 0.500 0.500 0.500
Hf: 0.000 0.000 0.000
Re: 0.000 0.500 0.000

A plane-wave DFT calculation with PBE-GGA was carried out for HfTiAlRe after structural relaxation.

Values from the calculation:
Energy of formation ... -1.78 eV per formula unit
N(E_F) ... 1.2 states/eV/cell

Unit cell a=3.268 b=3.268 c=6.344 alpha=90.00 beta=90.00 gamma=90.00
Sites, in units of the cell vectors:
Ti: 0.000 0.000 0.347
Re: 0.500 0.500 0.124
Al: 0.500 0.500 0.587
Hf: 0.000 0.000 0.870

A plane-wave DFT calculation with PBE-GGA was carried out for Hf2Ti5AlRe2 after structural relaxation.

Values from the calculation:
Energy of formation ... -0.77 eV per formula unit
N(E_F) ... 27.2 states/eV/cell

Unit cell a=3.249 b=10.594 c=10.594 alpha=90.00 beta=90.00 gamma=90.00
Sites, in units of the cell vectors:
Re: 0.000 0.866 0.366
Re: 0.000 0.634 0.866
Re: 0.000 0.134 0.634
Re: 0.000 0.366 0.134
Ti: 0.500 0.552 0.702
Ti: 0.500 0.798 0.948
Ti: 0.500 0.448 0.298
Ti: 0.500 0.500 0.000
Ti: 0.500 0.702 0.448
Ti: 0.500 0.948 0.202
Ti: 0.500 0.298 0.552
Ti: 0.500 0.202 0.052
Ti: 0.500 0.000 0.500
Ti: 0.500 0.052 0.798
Al: 0.000 0.500 0.500
Al: 0.000 0.000 0.000
Hf: 0.000 0.820 0.680
Hf: 0.000 0.680 0.180
Hf: 0.000 0.320 0.820
Hf: 0.000 0.180 0.320

A plane-wave DFT calculation with PBE-GGA was carried out for HfTiAlRe after structural relaxation.

Values from the calculation:
Energy of formation ... -1.43 eV per formula unit
N(E_F) ... 1.8 states/eV/cell

Unit cell a=4.574 b=4.574 c=4.574 alpha=60.00 beta=60.00 gamma=60.00
Sites, in units of the cell vectors:
Hf: 0.750 0.750 0.750
Ti: 0.250 0.250 0.250
Re: 0.500 0.500 0.500
Al: 0.000 0.000 0.000

A plane-wave DFT calculation with PBE-GGA was carried out for TmHfAlRe after structural relaxation.

Values from the calculation:
Energy of formation ... -0.87 eV per formula unit
N(E_F) ... 1.7 states/eV/cell

Unit cell a=4.782 b=4.782 c=4.782 alpha=60.00 beta=60.00 gamma=60.00
Sites, in units of the cell vectors:
Hf: 0.000 0.000 0.000
Tm: 0.500 0.500 0.500
Re: 0.250 0.250 0.250
Al: 0.750 0.750 0.750

A plane-wave DFT calculation with PBE-GGA was carried out for YHf2AlRe after structural relaxation.

Values from the calculation:
Energy of formation ... 3.58 eV per formula unit
N(E_F) ... 4.5 states/eV/cell

Unit cell a=5.045 b=5.045 c=4.580 alpha=90.00 beta=90.00 gamma=90.00
Sites, in units of the cell vectors:
Hf: 0.500 0.000 0.000
Hf: 0.000 0.500 0.000
Re: 0.000 0.000 0.500
Y: 0.500 0.500 0.500
Al: 0.000 0.000 0.000

A plane-wave DFT calculation with PBE-GGA was carried out for HfAlRh5 after structural relaxation.

Values from the calculation:
Energy of formation ... -3.65 eV per formula unit
N(E_F) ... 7.4 states/eV/cell

Unit cell a=4.094 b=4.094 c=6.522 alpha=90.00 beta=90.00 gamma=90.00
Sites, in units of the cell vectors:
Rh: 0.000 0.500 0.783
Rh: 0.500 0.000 0.217
Rh: 0.500 0.000 0.783
Rh: 0.500 0.500 0.500
Rh: 0.000 0.500 0.217
Al: 0.500 0.500 0.000
Hf: 0.000 0.000 0.500

Look up the energy of formation of the eighth one. -3.65 eV per formula unit

Please write out number 8 again, unchanged.
A plane-wave DFT calculation with PBE-GGA was carried out for HfAlRh5 after structural relaxation.

Values from the calculation:
Energy of formation ... -3.65 eV per formula unit
N(E_F) ... 7.4 states/eV/cell

Unit cell a=4.094 b=4.094 c=6.522 alpha=90.00 beta=90.00 gamma=90.00
Sites, in units of the cell vectors:
Rh: 0.000 0.500 0.783
Rh: 0.500 0.000 0.217
Rh: 0.500 0.000 0.783
Rh: 0.500 0.500 0.500
Rh: 0.000 0.500 0.217
Al: 0.500 0.500 0.000
Hf: 0.000 0.000 0.500

Number 7 is which compound? YHf2AlRe